Entry 1:
DFT (GGA-PBE) results for a geometry-optimized AcIn2B2O7 structure.

Properties
Calculated total energy (eV/atom): -6.9643
Volume (Å³/atom): 18.515
Uncorrected formation energy (eV/atom): -2.1604

```
data_AcIn2B2O7
_chemical_formula_sum 'Ac3 In6 B6 O21'
_space_group_name_H-M_alt 'R 3 2'
_space_group_IT_number 155
_space_group_name_Hall 'R 3 2"'
_cell_length_a 5.1601
_cell_length_b 5.1601
_cell_length_c 28.9063
_cell_angle_alpha 90.00
_cell_angle_beta 90.00
_cell_angle_gamma 120.00
loop_
_atom_site_label
_atom_site_type_symbol
_atom_site_fract_x
_atom_site_fract_y
_atom_site_fract_z
Ac1 Ac 0.0000 0.0000 0.0000
In1 In 0.0000 0.0000 0.4310
B1 B 0.0000 0.0000 0.2768
O1 O 0.0000 0.0000 0.5000
O2 O 0.0230 0.2798 0.2784
```

***

Entry 2:
DFT (GGA-PBE) results for a geometry-optimized TbThScCd structure.

Properties
Calculated total energy (eV/atom): -4.9806
Polymorph energy (0 for the lowest one) (eV per atom): 0.000
Volume (Å³/atom): 27.017
ΔE_f (meV per atom): -156

```
data_TbThScCd
_chemical_formula_sum 'Tb1 Th1 Sc1 Cd1'
_space_group_name_H-M_alt 'P 4 m m'
_space_group_IT_number 99
_cell_length_a 3.558
_cell_length_b 3.558
_cell_length_c 8.536
_cell_angle_alpha 90.00
_cell_angle_beta 90.00
_cell_angle_gamma 90.00
loop_
_space_group_symop_operation_xyz
'x,y,z'
'-y,x,z'
'-x,-y,z'
'y,-x,z'
'-x,y,z'
'y,x,z'
'x,-y,z'
'-y,-x,z'
loop_
_atom_site_label
_atom_site_type_symbol
_atom_site_fract_x
_atom_site_fract_y
_atom_site_fract_z
Tb1 Tb 0.000 0.000 0.000
Th1 Th 0.500 0.500 0.286
Sc1 Sc 0.000 0.000 0.545
Cd1 Cd 0.500 0.500 0.752
```

***

Entry 3:
DFT (GGA-PBE) results for a geometry-optimized TcRu2Pt structure.

Properties
Calculated total energy (eV/atom): -7.6913
Polymorph energy (0 for the lowest one) (eV per atom): 1.124
Volume (Å³/atom): 21.380
ΔE_f (meV per atom): 1048

```
data_TcRu2Pt
_chemical_formula_sum 'Tc4 Ru8 Pt4'
_space_group_name_H-M_alt 'I -4 2 d'
_space_group_IT_number 122
_space_group_name_Hall 'I -4 2bw'
_cell_length_a 5.622
_cell_length_b 5.622
_cell_length_c 10.824
_cell_angle_alpha 90.00
_cell_angle_beta 90.00
_cell_angle_gamma 90.00
loop_
_atom_site_label
_atom_site_type_symbol
_atom_site_fract_x
_atom_site_fract_y
_atom_site_fract_z
Tc1 Tc 0.000 0.000 0.000
Ru1 Ru 0.239 0.250 0.125
Pt1 Pt 0.000 0.000 0.500
```

***

Entry 4:
DFT (GGA-PBE) results for a geometry-optimized TmPdAu structure.

Properties
Calculated total energy (eV/atom): -5.1543
Polymorph energy (0 for the lowest one) (eV per atom): 0.044
Volume (Å³/atom): 19.612
ΔE_f (meV per atom): -840

```
data_TmPdAu
_chemical_formula_sum 'Tm4 Pd4 Au4'
_space_group_name_H-M_alt 'C m c m'
_space_group_IT_number 63
_space_group_name_Hall '-C 2c 2'
_cell_length_a 4.921
_cell_length_b 8.422
_cell_length_c 5.679
_cell_angle_alpha 90.00
_cell_angle_beta 90.00
_cell_angle_gamma 90.00
loop_
_atom_site_label
_atom_site_type_symbol
_atom_site_fract_x
_atom_site_fract_y
_atom_site_fract_z
Tm1 Tm 0.000 0.164 0.250
Pd1 Pd 0.000 0.172 0.750
Au1 Au 0.000 0.500 0.000
```

***

Entry 5:
DFT (GGA-PBE) results for a geometry-optimized Ga2Pb2Se structure.

Properties
Calculated total energy (eV/atom): -3.3583
Polymorph energy (0 for the lowest one) (eV per atom): 0.000
Volume (Å³/atom): 25.592
Uncorrected formation energy (eV/atom): 0.0327

```
data_Ga2Pb2Se
_chemical_formula_sum 'Ga4 Pb4 Se2'
_space_group_name_H-M_alt 'P 4/m b m'
_space_group_IT_number 127
_space_group_name_Hall '-P 4 2ab'
_cell_length_a 7.918
_cell_length_b 7.918
_cell_length_c 4.082
_cell_angle_alpha 90.00
_cell_angle_beta 90.00
_cell_angle_gamma 90.00
loop_
_atom_site_label
_atom_site_type_symbol
_atom_site_fract_x
_atom_site_fract_y
_atom_site_fract_z
Ga1 Ga 0.120 0.380 0.000
Pb1 Pb 0.193 0.693 0.500
Se1 Se 0.000 0.000 0.000
```

***

Entry 6:
DFT (GGA-PBE) results for a geometry-optimized AlHgOF2 structure.

Properties
Calculated total energy (eV/atom): -4.5879
Polymorph energy (0 for the lowest one) (eV per atom): 0.000
Volume (Å³/atom): 11.959
Uncorrected formation energy (eV/atom): -2.0389

```
data_AlHgOF2
_chemical_formula_sum 'Al1 Hg1 O1 F2'
_space_group_name_H-M_alt 'P 4/m m m'
_space_group_IT_number 123
_space_group_name_Hall '-P 4 2'
_cell_length_a 4.039
_cell_length_b 4.039
_cell_length_c 3.665
_cell_angle_alpha 90.00
_cell_angle_beta 90.00
_cell_angle_gamma 90.00
loop_
_atom_site_label
_atom_site_type_symbol
_atom_site_fract_x
_atom_site_fract_y
_atom_site_fract_z
Al1 Al 0.000 0.000 0.000
Hg1 Hg 0.500 0.500 0.500
O1 O 0.000 0.000 0.500
F1 F 0.000 0.500 0.000
```

***

Entry 7:
DFT (GGA-PBE) results for a geometry-optimized BeCdMo2 structure.

Properties
Calculated total energy (eV/atom): -5.7863
Polymorph energy (0 for the lowest one) (eV per atom): 0.531
Volume (Å³/atom): 16.592
ΔE_f (meV per atom): 790

```
data_BeCdMo2
_chemical_formula_sum 'Be4 Cd4 Mo8'
_space_group_name_H-M_alt 'I -4 2 d'
_space_group_IT_number 122
_space_group_name_Hall 'I -4 2bw'
_cell_length_a 3.691
_cell_length_b 3.691
_cell_length_c 19.491
_cell_angle_alpha 90.00
_cell_angle_beta 90.00
_cell_angle_gamma 90.00
loop_
_atom_site_label
_atom_site_type_symbol
_atom_site_fract_x
_atom_site_fract_y
_atom_site_fract_z
Be1 Be 0.000 0.000 0.000
Cd1 Cd 0.000 0.000 0.500
Mo1 Mo 0.227 0.250 0.125
```

***

Entry 8:
DFT (GGA-PBE) results for a geometry-optimized AcNd6Dy6 structure.

Properties
Calculated total energy (eV/atom): -4.4089
Volume (Å³/atom): 35.393
ΔE_f (meV per atom): 232

```
data_AcNd6Dy6
_chemical_formula_sum 'Ac1 Nd6 Dy6'
_space_group_name_H-M_alt 'P 6/m m m'
_space_group_IT_number 191
_space_group_name_Hall '-P 6 2'
_cell_length_a 6.7791
_cell_length_b 6.7791
_cell_length_c 11.5599
_cell_angle_alpha 90.00
_cell_angle_beta 90.00
_cell_angle_gamma 120.00
loop_
_atom_site_label
_atom_site_type_symbol
_atom_site_fract_x
_atom_site_fract_y
_atom_site_fract_z
Ac1 Ac 0.0000 0.0000 0.0000
Nd1 Nd 0.0000 0.0000 0.3524
Nd2 Nd 0.3333 0.6667 0.0000
Nd3 Nd 0.3333 0.6667 0.5000
Dy1 Dy 0.0000 0.5000 0.2496
```

***

Entry 9:
DFT (GGA-PBE) results for a geometry-optimized Th4AsP3 structure.

Properties
Calculated total energy (eV/atom): -7.8245
Polymorph energy (0 for the lowest one) (eV per atom): 0.000
Volume (Å³/atom): 25.642
ΔE_f (meV per atom): -1505

```
data_Th4AsP3
_chemical_formula_sum 'Th4 As1 P3'
_space_group_name_H-M_alt 'P m m m'
_space_group_IT_number 47
_cell_length_a 4.163
_cell_length_b 5.891
_cell_length_c 8.365
_cell_angle_alpha 90.00
_cell_angle_beta 90.00
_cell_angle_gamma 90.00
loop_
_space_group_symop_operation_xyz
'x,y,z'
'-x,-y,-z'
'-x,-y,z'
'x,y,-z'
'x,-y,-z'
'-x,y,z'
'-x,y,-z'
'x,-y,z'
loop_
_atom_site_label
_atom_site_type_symbol
_atom_site_fract_x
_atom_site_fract_y
_atom_site_fract_z
Th1 Th 0.000 0.000 0.000
Th2 Th 0.000 0.000 0.500
Th3 Th 0.500 0.500 0.242
As1 As 0.000 0.500 0.500
P1 P 0.000 0.500 0.000
P2 P 0.500 0.000 0.250
```

***

Entry 10:
DFT (GGA-PBE) results for a geometry-optimized ZnGaSn2 structure.

Properties
Calculated total energy (eV/atom): -2.9247
Polymorph energy (0 for the lowest one) (eV per atom): 0.064
Volume (Å³/atom): 24.402
ΔE_f (meV per atom): 152

```
data_ZnGaSn2
_chemical_formula_sum 'Zn3 Ga3 Sn6'
_space_group_name_H-M_alt 'R -3 m'
_space_group_IT_number 166
_space_group_name_Hall '-R 3 2"'
_cell_length_a 3.2753
_cell_length_b 3.2753
_cell_length_c 31.5186
_cell_angle_alpha 90.00
_cell_angle_beta 90.00
_cell_angle_gamma 120.00
loop_
_atom_site_label
_atom_site_type_symbol
_atom_site_fract_x
_atom_site_fract_y
_atom_site_fract_z
Zn1 Zn 0.0000 0.0000 0.0000
Ga1 Ga 0.0000 0.0000 0.5000
Sn1 Sn 0.0000 0.0000 0.0878
```

***

Entry 11:
DFT (GGA-PBE) results for a geometry-optimized Tb3HgTe structure.

Properties
Calculated total energy (eV/atom): -4.0503
Polymorph energy (0 for the lowest one) (eV per atom): 0.090
Volume (Å³/atom): 31.796
Uncorrected formation energy (eV/atom): -0.5835

```
data_Tb3HgTe
_chemical_formula_sum 'Tb6 Hg2 Te2'
_space_group_name_H-M_alt 'P m m a'
_space_group_IT_number 51
_cell_length_a 6.352
_cell_length_b 4.488
_cell_length_c 11.154
_cell_angle_alpha 90.00
_cell_angle_beta 90.00
_cell_angle_gamma 90.00
loop_
_space_group_symop_operation_xyz
'x,y,z'
'-x,-y,-z'
'-x+1/2,-y,z'
'x+1/2,y,-z'
'x+1/2,-y,-z'
'-x+1/2,y,z'
'-x,y,-z'
'x,-y,z'
loop_
_atom_site_label
_atom_site_type_symbol
_atom_site_fract_x
_atom_site_fract_y
_atom_site_fract_z
Tb1 Tb 0.000 0.000 0.000
Tb2 Tb 0.250 0.000 0.322
Tb3 Tb 0.250 0.500 0.792
Hg1 Hg 0.250 0.500 0.141
Te1 Te 0.250 0.000 0.603
```

***

Entry 12:
DFT (GGA-PBE) results for a geometry-optimized AgSe2Cl structure.

Properties
Calculated total energy (eV/atom): -2.5966
Polymorph energy (0 for the lowest one) (eV per atom): 0.509
Volume (Å³/atom): 22.480
Uncorrected formation energy (eV/atom): 0.3201

```
data_AgSe2Cl
_chemical_formula_sum 'Ag3 Se6 Cl3'
_space_group_name_H-M_alt 'R -3 m'
_space_group_IT_number 166
_space_group_name_Hall '-R 3 2"'
_cell_length_a 2.9656
_cell_length_b 2.9656
_cell_length_c 35.4184
_cell_angle_alpha 90.00
_cell_angle_beta 90.00
_cell_angle_gamma 120.00
loop_
_atom_site_label
_atom_site_type_symbol
_atom_site_fract_x
_atom_site_fract_y
_atom_site_fract_z
Ag1 Ag 0.0000 0.0000 0.0000
Se1 Se 0.0000 0.0000 0.0718
Cl1 Cl 0.0000 0.0000 0.5000
```